1.
First-principles (PBE-GGA) data for a geometry-optimized LiFe2NiMo structure, as listed in the Alexandria database.

a = 4.4348 Å, b = 4.4625 Å, c = 4.4348 Å
α = 90.00°, β = 90.00°, γ = 90.00°
Closest atoms and distances in Å follow each position.
Element x y z (fractional)
Ni 0.0000 0.0000 0.0000  4 Fe 2.22, 2 Mo 2.23
Mo 0.0000 0.5000 0.0000  2 Ni 2.23
Fe 0.0000 0.0000 0.5000  2 Ni 2.22
Fe 0.5000 0.0000 0.0000  2 Ni 2.22
Li 0.5000 0.5000 0.5000  4 Mo 3.14, 8 Fe 3.15

ΔH_f (0 K)   1.11 eV/atom
Symmetry   No. 123
Density of states at the Fermi level   1.213 states/eV per atom
E   -5.9780 eV/atom
Crystal system   tetragonal

2.
First-principles (PBE-GGA) data for a geometry-optimized Mg2Cd3Ga2 structure, as listed in the Alexandria database.

a = 4.3348 Å, b = 5.2715 Å, c = 7.0259 Å
α = 85.84°, β = 90.00°, γ = 114.28°
Closest atoms and distances in Å follow each position.
Element x y z (fractional)
Cd 0.0000 0.0000 0.0000  6 Cd 3.05-3.11, 4 Mg 3.12, 2 Ga 3.19
Cd 0.7120 0.4239 0.8463  4 Mg 3.02-3.31, 3 Ga 3.03-3.17, 5 Cd 3.05-3.19
Cd 0.2880 0.5761 0.1537  4 Mg 3.02-3.31, 3 Ga 3.03-3.17, 5 Cd 3.05-3.19
Mg 0.5767 0.1533 0.2945  5 Ga 2.99-3.07, 6 Cd 3.02-3.31, 1 Mg 3.14
Mg 0.4233 0.8467 0.7055  5 Ga 2.99-3.07, 6 Cd 3.02-3.31, 1 Mg 3.14
Ga 0.1356 0.2713 0.5711  3 Ga 2.87-3.19, 5 Mg 2.99-3.07, 4 Cd 3.03-3.19
Ga 0.8644 0.7287 0.4289  3 Ga 2.87-3.19, 5 Mg 2.99-3.07, 4 Cd 3.03-3.19

ΔH_f (0 K)   -0.06 eV/atom
Symmetry   No. 12
Excess energy over the best structure of this formula in the dataset   10 meV per atom
Density of states at the Fermi level   0.334 states/eV per atom
E   -1.7686 eV/atom
Crystal system   monoclinic

3.
First-principles (PBE-GGA) data for a geometry-optimized MnSbRh4 structure, as listed in the Alexandria database.

a = 5.1948 Å, b = 5.1948 Å, c = 5.1948 Å
α = 60.00°, β = 60.00°, γ = 60.00°
Closest atoms and distances in Å follow each position.
Element x y z (fractional)
Rh 0.3749 0.8752 0.3749  6 Rh 2.60
Rh 0.8752 0.3749 0.3749  6 Rh 2.60
Rh 0.3749 0.3749 0.8752  6 Rh 2.60
Rh 0.3749 0.3749 0.3749  6 Rh 2.60
Mn 0.0000 0.0000 0.0000  12 Rh 3.05, 4 Sb 3.18
Sb 0.7500 0.7500 0.7500  12 Rh 3.05, 4 Mn 3.18

Uncorrected formation energy   0.134 eV/atom
Symmetry   No. 216
Density of states at the Fermi level   1.550 states/eV per atom
E   -6.9822 eV/atom
Crystal system   cubic